(1)
This record from the Alexandria database describes a geometry-optimized K2C3 structure. The functional is PBE.

abc: 8.781 7.176 6.379
angles: 80.52 53.72 45.77
Site moments in Bohr magnetons follow the coordinates.
Fractional positions:
C: 0.550 0.950 0.950  -0.05
C: 0.450 0.851 0.049  0.22
K: 0.621 0.014 0.386  0.01
K: 0.979 0.386 0.014  0.01
C: 0.300 0.700 0.700  -0.05
C: 0.651 0.049 0.851  0.22
K: 0.864 0.271 0.629  0.01
K: 0.236 0.629 0.271  0.01
C: 0.201 0.599 0.800  0.22
C: 0.399 0.800 0.599  0.22

Output
excess energy over the best structure of this formula in the dataset = 0.000 eV per atom


(2)
This record from the Alexandria database describes a geometry-optimized KC structure. The functional is PBE.

abc: 5.738 5.738 4.814
angles: 90.00 90.00 120.00
Site moments in Bohr magnetons follow the coordinates.
Fractional positions:
C: 0.500 0.500 0.000  0.43
C: 0.000 0.500 0.000  0.43
K: 0.333 0.667 0.500  0.05
C: 0.500 0.000 0.000  0.43
K: 0.000 0.000 0.000  0.02
K: 0.667 0.333 0.500  0.05

Output
excess energy over the best structure of this formula in the dataset = 2.153 eV per atom


(3)
This record from the Alexandria database describes a geometry-optimized K2C structure. The functional is PBE.

abc: 4.843 7.866 9.269
angles: 90.00 90.00 90.00
Site moments in Bohr magnetons follow the coordinates.
Fractional positions:
K: 0.250 0.142 0.418  0.03
K: 0.750 0.988 0.160  0.01
C: 0.750 0.748 0.899  0.86
K: 0.250 0.512 0.660  0.01
C: 0.250 0.252 0.101  0.86
K: 0.750 0.858 0.582  0.03
C: 0.250 0.752 0.399  0.86
K: 0.750 0.358 0.918  0.03
K: 0.250 0.642 0.082  0.03
K: 0.750 0.488 0.340  0.01
K: 0.250 0.012 0.840  0.01
C: 0.750 0.248 0.601  0.86

Output
excess energy over the best structure of this formula in the dataset = 0.033 eV per atom


(4)
This record from the Alexandria database describes a geometry-optimized K4C structure. The functional is PBE.

abc: 6.209 6.209 6.209
angles: 90.00 90.00 90.00
Site moments in Bohr magnetons follow the coordinates.
Fractional positions:
K: 0.500 0.000 0.500  0.01
C: 0.500 0.500 0.500  0.90
K: 0.000 0.500 0.500  0.01
K: 0.000 0.000 0.000  0.00
K: 0.500 0.500 0.000  0.01

Output
excess energy over the best structure of this formula in the dataset = 0.000 eV per atom


(5)
This record from the Alexandria database describes a geometry-optimized KC structure. The functional is PBE.

abc: 8.920 8.920 8.920
angles: 18.31 18.31 18.31
Fractional positions:
C: 0.667 0.667 0.667
C: 0.333 0.333 0.333
K: 0.090 0.090 0.090
K: 0.910 0.910 0.910

Output
excess energy over the best structure of this formula in the dataset = 0.900 eV per atom


(6)
This record from the Alexandria database describes a geometry-optimized KC structure. The functional is PBE.

abc: 5.725 5.725 8.558
angles: 60.43 60.43 28.11
Fractional positions:
K: 0.949 0.949 0.629
C: 0.469 0.469 0.946
K: 0.702 0.702 0.017
K: 0.827 0.827 0.320
C: 0.043 0.043 0.869
C: 0.178 0.178 0.719

Output
excess energy over the best structure of this formula in the dataset = 0.688 eV per atom


(7)
This record from the Alexandria database describes a geometry-optimized KC structure. The functional is PBE.

abc: 5.191 5.191 6.116
angles: 90.00 90.00 120.00
Site moments in Bohr magnetons follow the coordinates.
Fractional positions:
K: 0.333 0.667 0.750  0.07
C: 0.333 0.667 0.250  1.22
C: 0.667 0.333 0.750  1.22
K: 0.667 0.333 0.250  0.07

Output
excess energy over the best structure of this formula in the dataset = 2.092 eV per atom


(8)
This record from the Alexandria database describes a geometry-optimized KC structure. The functional is PBE.

abc: 12.133 12.133 2.711
angles: 90.00 90.00 90.00
Fractional positions:
C: 0.500 0.157 0.500
K: 0.341 0.659 0.500
C: 0.843 0.500 0.500
K: 0.659 0.659 0.500
C: 0.500 0.813 0.000
K: 0.659 0.341 0.500
K: 0.000 0.341 0.000
K: 0.341 0.000 0.000
C: 0.813 0.500 0.000
K: 0.659 0.000 0.000
C: 0.500 0.843 0.500
C: 0.157 0.500 0.500
C: 0.500 0.187 0.000
C: 0.187 0.500 0.000
K: 0.341 0.341 0.500
K: 0.000 0.659 0.000

Output
excess energy over the best structure of this formula in the dataset = 0.386 eV per atom


(9)
This record from the Alexandria database describes a geometry-optimized KC structure. The functional is PBE.

abc: 7.902 7.902 7.902
angles: 90.00 90.00 90.00
Fractional positions:
C: 0.930 0.930 0.070
K: 0.788 0.788 0.788
K: 0.788 0.212 0.212
C: 0.430 0.430 0.570
C: 0.570 0.430 0.430
C: 0.430 0.570 0.430
K: 0.288 0.712 0.712
C: 0.070 0.930 0.930
K: 0.712 0.712 0.288
C: 0.930 0.070 0.930
C: 0.570 0.570 0.570
K: 0.212 0.212 0.788
C: 0.070 0.070 0.070
K: 0.288 0.288 0.288
K: 0.712 0.288 0.712
K: 0.212 0.788 0.212

Output
excess energy over the best structure of this formula in the dataset = 0.572 eV per atom


(10)
This record from the Alexandria database describes a geometry-optimized K7C5 structure. The functional is PBE.

abc: 9.862 9.862 9.862
angles: 130.24 130.24 73.02
Fractional positions:
C: 0.114 0.114 0.000
K: 0.185 0.890 0.705
K: 0.963 0.463 0.500
K: 0.185 0.479 0.295
K: 0.479 0.185 0.295
C: 0.946 0.131 0.000
K: 0.463 0.963 0.500
C: 0.131 0.946 0.000
K: 0.867 0.867 0.000
C: 0.131 0.131 0.185
K: 0.890 0.185 0.705
C: 0.946 0.946 0.815


(11)
This record from the Alexandria database describes a geometry-optimized KC structure. The functional is PBE.

abc: 4.624 4.624 12.618
angles: 90.00 90.00 90.00
Site moments in Bohr magnetons follow the coordinates.
Fractional positions:
C: 0.500 0.500 0.106  0.25
C: 0.000 0.000 0.606  0.25
K: 0.500 0.000 0.250  0.01
K: 0.500 0.000 0.750  0.01
K: 0.000 0.500 0.750  0.01
K: 0.000 0.000 0.000  0.00
C: 0.000 0.000 0.500  -0.06
C: 0.000 0.000 0.394  0.25
C: 0.500 0.500 0.894  0.25
C: 0.500 0.500 0.000  -0.06
K: 0.000 0.500 0.250  0.01
K: 0.500 0.500 0.500  0.00

Output
excess energy over the best structure of this formula in the dataset = 0.313 eV per atom


(12)
This record from the Alexandria database describes a geometry-optimized KC structure. The functional is PBE.

abc: 9.116 9.116 9.116
angles: 130.28 130.28 72.97
Fractional positions:
C: 0.058 0.442 0.500
K: 0.817 0.875 0.442
K: 0.125 0.567 0.942
C: 0.692 0.808 0.000
K: 0.933 0.375 0.058
C: 0.942 0.558 0.500
K: 0.125 0.067 0.442
C: 0.442 0.942 0.383
C: 0.308 0.308 0.117
K: 0.433 0.375 0.558
C: 0.558 0.058 0.617
K: 0.625 0.683 0.558
K: 0.625 0.183 0.058
K: 0.317 0.875 0.942
C: 0.192 0.192 0.883
C: 0.808 0.692 0.000

Output
excess energy over the best structure of this formula in the dataset = 0.000 eV per atom


(13)
This record from the Alexandria database describes a geometry-optimized KC5 structure. The functional is PBE.

abc: 4.842 4.842 2.521
angles: 90.00 90.00 120.00
Fractional positions:
C: 0.000 0.500 0.000
C: 0.500 0.000 0.000
C: 0.500 0.500 0.000
K: 0.000 0.000 0.500
C: 0.333 0.667 0.500
C: 0.667 0.333 0.500

Output
excess energy over the best structure of this formula in the dataset = 2.029 eV per atom


(14)
This record from the Alexandria database describes a geometry-optimized K5C7 structure. The functional is PBE.

abc: 7.143 7.143 7.143
angles: 107.16 107.16 114.19
Site moments in Bohr magnetons follow the coordinates.
Fractional positions:
C: 0.560 0.904 0.344  0.49
K: 0.606 0.055 0.000  0.04
K: 0.477 0.477 0.000  0.01
C: 0.560 0.215 0.656  0.49
K: 0.055 0.606 0.000  0.04
K: 0.055 0.055 0.449  0.04
K: 0.606 0.606 0.551  0.04
C: 0.904 0.560 0.344  0.49
C: 0.060 0.560 0.500  -0.12
C: 0.560 0.060 0.500  -0.12
C: 0.215 0.560 0.656  0.49
C: 0.043 0.043 0.000  1.19


(15)
This record from the Alexandria database describes a geometry-optimized KC structure. The functional is PBE.

abc: 4.807 4.807 4.807
angles: 60.00 60.00 60.00
Site moments in Bohr magnetons follow the coordinates.
Fractional positions:
C: 0.000 0.000 0.000  1.21
K: 0.750 0.750 0.750  0.07

Output
excess energy over the best structure of this formula in the dataset = 2.136 eV per atom


(16)
This record from the Alexandria database describes a geometry-optimized KLaC2 structure. The functional is PBE.

abc: 4.662 4.662 4.662
angles: 60.00 60.00 60.00
Fractional positions:
C: 0.250 0.250 0.250
K: 0.000 0.000 0.000
C: 0.750 0.750 0.750
La: 0.500 0.500 0.500

Output
excess energy over the best structure of this formula in the dataset = 0.000 eV per atom


(17)
This record from the Alexandria database describes a geometry-optimized KLaC3 structure. The functional is PBE.

abc: 4.790 4.790 4.790
angles: 90.00 90.00 90.00
Site moments in Bohr magnetons follow the coordinates.
Fractional positions:
La: 0.000 0.000 0.000  0.09
C: 0.500 0.000 0.000  0.20
C: 0.000 0.000 0.500  0.45
C: 0.000 0.500 0.000  0.30
K: 0.500 0.500 0.500  0.01

Output
excess energy over the best structure of this formula in the dataset = 0.000 eV per atom


(18)
This record from the Alexandria database describes a geometry-optimized K2LaC2 structure. The functional is PBE.

abc: 8.002 8.002 3.257
angles: 90.00 90.00 90.00
Site moments in Bohr magnetons follow the coordinates.
Fractional positions:
K: 0.619 0.119 0.000  0.05
La: 0.000 0.000 0.000  -0.28
K: 0.881 0.619 0.000  0.04
C: 0.810 0.310 0.500  0.41
K: 0.381 0.881 0.000  0.05
K: 0.119 0.381 0.000  0.04
C: 0.190 0.690 0.500  0.41
C: 0.310 0.190 0.500  0.41
C: 0.690 0.810 0.500  0.41
La: 0.500 0.500 0.000  -0.28

Output
excess energy over the best structure of this formula in the dataset = 0.000 eV per atom


(19)
This record from the Alexandria database describes a geometry-optimized KLa2C structure. The functional is PBE.

abc: 3.788 3.788 11.456
angles: 80.48 80.48 60.00
Fractional positions:
La: 0.876 0.876 0.373
K: 0.000 0.000 0.000
La: 0.124 0.124 0.627
C: 0.500 0.500 0.500


(20)
This record from the Alexandria database describes a geometry-optimized KLa2C structure. The functional is PBE.

abc: 7.841 7.841 7.759
angles: 59.65 59.65 90.00
Fractional positions:
C: 0.250 0.750 0.500
K: 0.750 0.250 0.500
La: 0.444 0.125 0.250
C: 0.500 0.500 0.000
La: 0.375 0.556 0.750
La: 0.875 0.694 0.750
K: 0.000 0.000 0.000
La: 0.306 0.625 0.250


In order of appearance, formation energy = 0.783, 2.397, 1.400, 0.860, 1.144, 0.932, 2.336, 0.630, 0.816, 0.764, 0.557, 0.244, 2.958, 0.968, 2.380, 1.507, 2.364, 1.727, -0.004, 0.324 eV/atom.